--- 1 ---
This record from the Alexandria database describes Pr8Sm3Dy2 after structural relaxation. The functional is PBE.

The structure in CIF format:
```
data_Pr8Sm3Dy2
_chemical_formula_sum 'Pr16 Sm6 Dy4'
_space_group_name_H-M_alt 'C 1 2/m 1'
_space_group_IT_number 12
_cell_length_a 14.8202
_cell_length_b 11.1857
_cell_length_c 5.8554
_cell_angle_alpha 90.00
_cell_angle_beta 109.03
_cell_angle_gamma 90.00
loop_
_space_group_symop_operation_xyz
'x,y,z'
'-x,-y,-z'
'-x,y,-z'
'x,-y,z'
'x+1/2,y+1/2,z'
'-x+1/2,-y+1/2,-z'
'-x+1/2,y+1/2,-z'
'x+1/2,-y+1/2,z'
loop_
_atom_site_label
_atom_site_type_symbol
_atom_site_fract_x
_atom_site_fract_y
_atom_site_fract_z
_atom_site_occupancy
Pr1 Pr 0.0768 0.0000 0.2395 1
Pr2 Pr 0.1629 0.5000 0.6220 1
Pr3 Pr 0.1700 0.2708 0.1647 1
Sm1 Sm 0.0000 0.2492 0.5000 1
Sm2 Sm 0.0000 0.5000 0.0000 1
Dy1 Dy 0.1723 0.0000 0.8064 1
```

Computed properties:
Calculated volume = 35.294 Å³ per atom

---

--- 2 ---
This record from the Alexandria database describes Pr8Sm3Dy2 after structural relaxation. The functional is PBE.

The structure in CIF format:
```
data_Pr8Sm3Dy2
_chemical_formula_sum 'Pr16 Sm6 Dy4'
_space_group_name_H-M_alt 'C 1 2/m 1'
_space_group_IT_number 12
_cell_length_a 20.6499
_cell_length_b 7.7680
_cell_length_c 5.8451
_cell_angle_alpha 90.00
_cell_angle_beta 90.03
_cell_angle_gamma 90.00
loop_
_space_group_symop_operation_xyz
'x,y,z'
'-x,-y,-z'
'-x,y,-z'
'x,-y,z'
'x+1/2,y+1/2,z'
'-x+1/2,-y+1/2,-z'
'-x+1/2,y+1/2,-z'
'x+1/2,-y+1/2,z'
loop_
_atom_site_label
_atom_site_type_symbol
_atom_site_fract_x
_atom_site_fract_y
_atom_site_fract_z
_atom_site_occupancy
Pr1 Pr 0.1068 0.2069 0.0001 1
Pr2 Pr 0.1335 0.5000 0.4993 1
Pr3 Pr 0.1745 0.0000 0.5010 1
Sm1 Sm 0.0000 0.2141 0.5000 1
Sm2 Sm 0.0000 0.5000 0.0000 1
Dy1 Dy 0.2408 0.5000 0.9987 1
```

Computed properties:
Calculated volume = 36.062 Å³ per atom

---

Which of them is the least stable? Correct choice: 2.

---

--- 1 ---
This record from the Alexandria database describes Pr5Sm2Dy2 after structural relaxation. The functional is PBE.

The structure in CIF format:
```
data_Pr5Sm2Dy2
_chemical_formula_sum 'Pr20 Sm8 Dy8'
_space_group_name_H-M_alt 'I m a 2'
_space_group_IT_number 46
_cell_length_a 15.1884
_cell_length_b 11.9376
_cell_length_c 6.9180
_cell_angle_alpha 90.00
_cell_angle_beta 90.00
_cell_angle_gamma 90.00
loop_
_space_group_symop_operation_xyz
'x,y,z'
'-x,-y,z'
'-x+1/2,y,z'
'x+1/2,-y,z'
'x+1/2,y+1/2,z+1/2'
'-x+1/2,-y+1/2,z+1/2'
'-x,y+1/2,z+1/2'
'x,-y+1/2,z+1/2'
loop_
_atom_site_label
_atom_site_type_symbol
_atom_site_fract_x
_atom_site_fract_y
_atom_site_fract_z
_atom_site_occupancy
Pr1 Pr 0.0501 0.2318 0.0000 1
Pr2 Pr 0.1443 0.7272 0.6673 1
Pr3 Pr 0.2500 0.2399 0.6846 1
Sm1 Sm 0.0000 0.0000 0.3519 1
Sm2 Sm 0.2500 0.5036 0.8806 1
Dy1 Dy 0.1289 0.5081 0.3287 1
```

Computed properties:
Calculated volume = 34.842 Å³ per atom

---

--- 2 ---
This record from the Alexandria database describes Pr5Sm2Dy2 after structural relaxation. The functional is PBE.

The structure in CIF format:
```
data_Pr5Sm2Dy2
_chemical_formula_sum 'Pr10 Sm4 Dy4'
_space_group_name_H-M_alt 'C 1 2/m 1'
_space_group_IT_number 12
_cell_length_a 11.5940
_cell_length_b 5.1736
_cell_length_c 10.9652
_cell_angle_alpha 90.00
_cell_angle_beta 108.58
_cell_angle_gamma 90.00
loop_
_space_group_symop_operation_xyz
'x,y,z'
'-x,-y,-z'
'-x,y,-z'
'x,-y,z'
'x+1/2,y+1/2,z'
'-x+1/2,-y+1/2,-z'
'-x+1/2,y+1/2,-z'
'x+1/2,-y+1/2,z'
loop_
_atom_site_label
_atom_site_type_symbol
_atom_site_fract_x
_atom_site_fract_y
_atom_site_fract_z
_atom_site_occupancy
Pr1 Pr 0.0000 0.0000 0.0000 1
Pr2 Pr 0.1658 0.5000 0.8882 1
Pr3 Pr 0.1671 0.5000 0.5550 1
Sm1 Sm 0.0007 0.0000 0.6676 1
Dy1 Dy 0.1670 0.5000 0.2233 1
```

Computed properties:
Calculated volume = 34.635 Å³ per atom

---

Which of them is the least stable? Correct choice: 1.

---

--- 1 ---
This record from the Alexandria database describes Pr7SmDy12 after structural relaxation. The functional is PBE.

The structure in CIF format:
```
data_Pr7SmDy12
_chemical_formula_sum 'Pr21 Sm3 Dy36'
_space_group_name_H-M_alt 'R -3'
_space_group_IT_number 148
_space_group_name_Hall '-R 3'
_cell_length_a 12.0637
_cell_length_b 12.0637
_cell_length_c 16.3211
_cell_angle_alpha 90.00
_cell_angle_beta 90.00
_cell_angle_gamma 120.00
loop_
_atom_site_label
_atom_site_type_symbol
_atom_site_fract_x
_atom_site_fract_y
_atom_site_fract_z
_atom_site_occupancy
Pr1 Pr 0.0000 0.0000 0.0000 1
Pr2 Pr 0.0550 0.8679 0.2885 1
Sm1 Sm 0.0000 0.0000 0.5000 1
Dy1 Dy 0.0243 0.5767 0.2224 1
Dy2 Dy 0.0517 0.4651 0.5826 1
```

Computed properties:
Calculated volume = 34.284 Å³ per atom

---

--- 2 ---
This record from the Alexandria database describes Pr7SmDy12 after structural relaxation. The functional is PBE.

The structure in CIF format:
```
data_Pr7SmDy12
_chemical_formula_sum 'Pr14 Sm2 Dy24'
_space_group_name_H-M_alt 'I m -3 m'
_space_group_IT_number 229
_space_group_name_Hall '-I 4 2 3'
_cell_length_a 11.3684
_cell_length_b 11.3684
_cell_length_c 11.3684
_cell_angle_alpha 90.00
_cell_angle_beta 90.00
_cell_angle_gamma 90.00
loop_
_atom_site_label
_atom_site_type_symbol
_atom_site_fract_x
_atom_site_fract_y
_atom_site_fract_z
_atom_site_occupancy
Pr1 Pr 0.0000 0.0000 0.5000 1
Pr2 Pr 0.2500 0.2500 0.2500 1
Sm1 Sm 0.0000 0.0000 0.0000 1
Dy1 Dy 0.0000 0.2484 0.2484 1
```

Computed properties:
Calculated volume = 36.731 Å³ per atom

---

Which of them is the least stable? Correct choice: 2.

---

--- 1 ---
This record from the Alexandria database describes Pr4Sm7Dy after structural relaxation. The functional is PBE.

The structure in CIF format:
```
data_Pr4Sm7Dy
_chemical_formula_sum 'Pr8 Sm14 Dy2'
_space_group_name_H-M_alt 'C 1 2/m 1'
_space_group_IT_number 12
_cell_length_a 16.5018
_cell_length_b 6.0635
_cell_length_c 9.3841
_cell_angle_alpha 90.00
_cell_angle_beta 116.26
_cell_angle_gamma 90.00
loop_
_space_group_symop_operation_xyz
'x,y,z'
'-x,-y,-z'
'-x,y,-z'
'x,-y,z'
'x+1/2,y+1/2,z'
'-x+1/2,-y+1/2,-z'
'-x+1/2,y+1/2,-z'
'x+1/2,-y+1/2,z'
loop_
_atom_site_label
_atom_site_type_symbol
_atom_site_fract_x
_atom_site_fract_y
_atom_site_fract_z
_atom_site_occupancy
Pr1 Pr 0.0758 0.0000 0.2022 1
Pr2 Pr 0.1745 0.0000 0.8865 1
Sm1 Sm 0.0000 0.0000 0.5000 1
Sm2 Sm 0.0799 0.5000 0.9340 1
Sm3 Sm 0.2072 0.5000 0.7231 1
Sm4 Sm 0.2100 0.5000 0.3754 1
Dy1 Dy 0.0000 0.5000 0.5000 1
```

Computed properties:
Calculated volume = 35.084 Å³ per atom

---

--- 2 ---
This record from the Alexandria database describes Pr4Sm7Dy after structural relaxation. The functional is PBE.

The structure in CIF format:
```
data_Pr4Sm7Dy
_chemical_formula_sum 'Pr4 Sm7 Dy1'
_space_group_name_H-M_alt 'P -1'
_space_group_IT_number 2
_cell_length_a 6.6149
_cell_length_b 6.9843
_cell_length_c 9.2762
_cell_angle_alpha 86.32
_cell_angle_beta 77.45
_cell_angle_gamma 83.21
loop_
_space_group_symop_operation_xyz
'x,y,z'
'-x,-y,-z'
loop_
_atom_site_label
_atom_site_type_symbol
_atom_site_fract_x
_atom_site_fract_y
_atom_site_fract_z
_atom_site_occupancy
Pr1 Pr 0.1439 0.3049 0.2820 1
Pr2 Pr 0.3394 0.8936 0.6898 1
Sm1 Sm 0.0115 0.2524 0.9492 1
Sm2 Sm 0.1851 0.8020 0.3583 1
Sm3 Sm 0.3079 0.4002 0.6174 1
Sm4 Sm 0.5000 0.0000 0.0000 1
Dy1 Dy 0.5000 0.5000 0.0000 1
```

Computed properties:
Calculated volume = 34.589 Å³ per atom

---

Which of them is the least stable? Correct choice: 1.

---

--- 1 ---
This record from the Alexandria database describes Pr3Sm6Dy after structural relaxation. The functional is PBE.

The structure in CIF format:
```
data_Pr3Sm6Dy
_chemical_formula_sum 'Pr6 Sm12 Dy2'
_space_group_name_H-M_alt 'C 1 2/m 1'
_space_group_IT_number 12
_cell_length_a 11.6690
_cell_length_b 6.9817
_cell_length_c 8.8952
_cell_angle_alpha 90.00
_cell_angle_beta 101.54
_cell_angle_gamma 90.00
loop_
_space_group_symop_operation_xyz
'x,y,z'
'-x,-y,-z'
'-x,y,-z'
'x,-y,z'
'x+1/2,y+1/2,z'
'-x+1/2,-y+1/2,-z'
'-x+1/2,y+1/2,-z'
'x+1/2,-y+1/2,z'
loop_
_atom_site_label
_atom_site_type_symbol
_atom_site_fract_x
_atom_site_fract_y
_atom_site_fract_z
_atom_site_occupancy
Pr1 Pr 0.0000 0.0000 0.0000 1
Pr2 Pr 0.0327 0.5000 0.3378 1
Sm1 Sm 0.1638 0.5000 0.9939 1
Sm2 Sm 0.2444 0.2695 0.6860 1
Dy1 Dy 0.0000 0.0000 0.5000 1
```

Computed properties:
Calculated volume = 35.502 Å³ per atom

---

--- 2 ---
This record from the Alexandria database describes Pr3Sm6Dy after structural relaxation. The functional is PBE.

The structure in CIF format:
```
data_Pr3Sm6Dy
_chemical_formula_sum 'Pr12 Sm24 Dy4'
_space_group_name_H-M_alt 'C m c 21'
_space_group_IT_number 36
_cell_length_a 11.0273
_cell_length_b 19.3072
_cell_length_c 6.4917
_cell_angle_alpha 90.00
_cell_angle_beta 90.00
_cell_angle_gamma 90.00
loop_
_space_group_symop_operation_xyz
'x,y,z'
'-x,-y,z+1/2'
'-x,y,z'
'x,-y,z+1/2'
'x+1/2,y+1/2,z'
'-x+1/2,-y+1/2,z+1/2'
'-x+1/2,y+1/2,z'
'x+1/2,-y+1/2,z+1/2'
loop_
_atom_site_label
_atom_site_type_symbol
_atom_site_fract_x
_atom_site_fract_y
_atom_site_fract_z
_atom_site_occupancy
Pr1 Pr 0.0000 0.1143 0.0000 1
Pr2 Pr 0.1756 0.3840 0.6140 1
Sm1 Sm 0.0000 0.2257 0.4267 1
Sm2 Sm 0.0000 0.4647 0.2167 1
Sm3 Sm 0.1704 0.0432 0.5217 1
Sm4 Sm 0.2345 0.2089 0.7078 1
Dy1 Dy 0.0000 0.3090 0.9601 1
```

Computed properties:
Calculated volume = 34.553 Å³ per atom

---

Which of them is the least stable? Correct choice: 1.

---

--- 1 ---
This record from the Alexandria database describes Pr4SmDy3 after structural relaxation. The functional is PBE.

The structure in CIF format:
```
data_Pr4SmDy3
_chemical_formula_sum 'Pr8 Sm2 Dy6'
_space_group_name_H-M_alt 'P m n a'
_space_group_IT_number 53
_cell_length_a 10.3249
_cell_length_b 7.2659
_cell_length_c 7.2640
_cell_angle_alpha 90.00
_cell_angle_beta 90.00
_cell_angle_gamma 90.00
loop_
_space_group_symop_operation_xyz
'x,y,z'
'-x,-y,-z'
'-x+1/2,-y,z+1/2'
'x+1/2,y,-z+1/2'
'x,-y,-z'
'-x,y,z'
'-x+1/2,y,-z+1/2'
'x+1/2,-y,z+1/2'
loop_
_atom_site_label
_atom_site_type_symbol
_atom_site_fract_x
_atom_site_fract_y
_atom_site_fract_z
_atom_site_occupancy
Pr1 Pr 0.0000 0.0000 0.0000 1
Pr2 Pr 0.0000 0.5000 0.5000 1
Pr3 Pr 0.2500 0.2492 0.2500 1
Sm1 Sm 0.0000 0.5000 0.0000 1
Dy1 Dy 0.0000 0.0000 0.5000 1
Dy2 Dy 0.2500 0.2486 0.7500 1
```

Computed properties:
Calculated volume = 34.059 Å³ per atom

---

--- 2 ---
This record from the Alexandria database describes Pr4SmDy3 after structural relaxation. The functional is PBE.

The structure in CIF format:
```
data_Pr4SmDy3
_chemical_formula_sum 'Pr8 Sm2 Dy6'
_space_group_name_H-M_alt 'P m n 21'
_space_group_IT_number 31
_cell_length_a 11.7539
_cell_length_b 7.3677
_cell_length_c 6.3520
_cell_angle_alpha 90.00
_cell_angle_beta 90.00
_cell_angle_gamma 90.00
loop_
_space_group_symop_operation_xyz
'x,y,z'
'-x+1/2,-y,z+1/2'
'-x,y,z'
'x+1/2,-y,z+1/2'
loop_
_atom_site_label
_atom_site_type_symbol
_atom_site_fract_x
_atom_site_fract_y
_atom_site_fract_z
_atom_site_occupancy
Pr1 Pr 0.0000 0.1294 0.0000 1
Pr2 Pr 0.0000 0.8712 0.4924 1
Pr3 Pr 0.2472 0.8728 0.8327 1
Sm1 Sm 0.0000 0.3766 0.4996 1
Dy1 Dy 0.0000 0.6199 0.9973 1
Dy2 Dy 0.2503 0.3792 0.8306 1
```

Computed properties:
Calculated volume = 34.380 Å³ per atom

---

Which of them is the least stable? Correct choice: 2.